The following is a PBE-GGA calculation of Hg2MoPb after structural relaxation, from the Alexandria database.

Unit cell a=2.993 b=2.993 c=11.088 alpha=90.00 beta=90.00 gamma=100.34
Positions (direct):
Hg 0.000 0.000 0.000
Hg 0.500 0.500 0.270
Mo 0.000 0.000 0.465
Pb 0.500 0.500 0.675

## Properties
The calculation puts the size of the total moment at 0.00 μB/cell. For the calculated formation energy, the calculation gives 0.50 eV per atom. As for the space group: Cmm2, No. 35.